Record 1
An optimized crystal structure of La2Sb4Rh5. Source: the Alexandria database, functional PBE.

Calculated values
Density ... 8.802 Mg/m³
Crystal system ... orthorhombic
Fermi-level density of states ... 27.48 states/eV per cell
ΔE_f (raw) ... -667 meV/atom
DFT total energy ... -281.7 eV for the cell shown

Unit cell a=5.8474 b=10.3638 c=15.9302 alpha=90.00 beta=90.00 gamma=90.00
Last column: nearest neighbours and their distance in Å.
Space group Fmmm (No. 69)
Symmetry-distinct sites (fractional):
La 0.0000 0.0000 0.1305  6 Sb 3.36-3.54, 10 Rh 3.53-3.63
Sb 0.0000 0.1588 0.3717  5 Rh 2.61-2.68
Rh 0.0000 0.0000 0.5000  4 Sb 2.62
Rh 0.2500 0.2500 0.0000  4 Sb 2.68, 4 Rh 2.92-2.97
Rh 0.2500 0.2500 0.2500  4 Sb 2.61

Record 2
An optimized crystal structure of La2ScSb3Rh4. Source: the Alexandria database, functional PBE.

Calculated values
Density ... 8.378 Mg/m³
Crystal system ... tetragonal
Fermi-level density of states ... 7.70 states/eV per cell
ΔE_f (raw) ... -930 meV/atom
DFT total energy ... -67.3 eV for the cell shown

Unit cell a=4.4036 b=4.4036 c=11.2395 alpha=90.00 beta=90.00 gamma=90.00
Last column: nearest neighbours and their distance in Å.
Space group P-4m2 (No. 115)
Symmetry-distinct sites (fractional):
La 0.0000 0.5000 0.2414  6 Sb 3.35-3.65, 8 Rh 3.40-3.49, 2 Sc 3.65
Sc 0.0000 0.0000 0.5000  4 Rh 2.69
Sb 0.0000 0.5000 0.8683  5 Rh 2.60-2.65
Sb 0.5000 0.5000 0.5000  4 Rh 2.69
Rh 0.0000 0.0000 0.0000  4 Sb 2.65
Rh 0.0000 0.5000 0.6373  3 Sb 2.60-2.69, 2 Sc 2.69
Rh 0.5000 0.5000 0.0000  4 Sb 2.65

Record 3
An optimized crystal structure of LaSbRhSe. Source: the Alexandria database, functional PBE.

Calculated values
Density ... 7.280 Mg/m³
Crystal system ... tetragonal
Fermi-level density of states ... 4.69 states/eV per cell
ΔE_f (raw) ... -1096 meV/atom
DFT total energy ... -48.5 eV for the cell shown

Unit cell a=4.7803 b=4.7803 c=8.8348 alpha=90.00 beta=90.00 gamma=90.00
Last column: nearest neighbours and their distance in Å.
Space group P4/nmm (No. 129, origin choice 2)
Symmetry-distinct sites (fractional):
La 0.2500 0.2500 0.1913  4 Se 2.93
Sb 0.2500 0.2500 0.6340  4 Rh 2.67
Rh 0.2500 0.7500 0.5000  4 Sb 2.67
Se 0.2500 0.7500 0.0000  4 La 2.93

Record 4
An optimized crystal structure of La2SiSbRh6. Source: the Alexandria database, functional PBE.

Calculated values
Density ... 8.223 Mg/m³
Crystal system ... triclinic
Fermi-level density of states ... 5.10 states/eV per cell
ΔE_f (raw) ... -599 meV/atom
DFT total energy ... -69.5 eV for the cell shown

Unit cell a=6.2862 b=6.3106 c=7.0843 alpha=64.40 beta=64.06 gamma=60.32
Last column: nearest neighbours and their distance in Å.
Space group P-1 (No. 2)
Symmetry-distinct sites (fractional):
La 0.2475 0.2483 0.2590  9 Rh 3.01-3.23
Si 0.0000 0.0000 0.0000  6 Rh 2.28-2.29
Sb 0.5000 0.5000 0.5000  6 Rh 2.61
Rh 0.2412 0.6725 0.8424  1 Si 2.29
Rh 0.2427 0.2404 0.8332  1 Si 2.28
Rh 0.3215 0.7609 0.1626  1 Si 2.28

Record 5
An optimized crystal structure of La2SmSb3Rh4. Source: the Alexandria database, functional PBE.

Calculated values
Density ... 8.752 Mg/m³
Crystal system ... tetragonal
Fermi-level density of states ... 8.48 states/eV per cell
ΔE_f (raw) ... -885 meV/atom
DFT total energy ... -65.2 eV for the cell shown

Unit cell a=4.4851 b=4.4851 c=11.3656 alpha=90.00 beta=90.00 gamma=90.00
Last column: nearest neighbours and their distance in Å.
Space group P-4m2 (No. 115)
Symmetry-distinct sites (fractional):
La 0.0000 0.5000 0.2274  4 Sb 3.37, 8 Rh 3.42-3.48
Sm 0.0000 0.0000 0.5000  4 Rh 2.79
Sb 0.0000 0.5000 0.8734  5 Rh 2.58-2.66
Sb 0.5000 0.5000 0.5000  4 Rh 2.79
Rh 0.0000 0.0000 0.0000  4 Sb 2.66
Rh 0.0000 0.5000 0.6467  3 Sb 2.58-2.79, 2 Sm 2.79
Rh 0.5000 0.5000 0.0000  4 Sb 2.66

Record 6
An optimized crystal structure of LaSmSb2Rh5. Source: the Alexandria database, functional PBE.

Calculated values
Density ... 9.509 Mg/m³
Crystal system ... tetragonal
Fermi-level density of states ... 5.57 states/eV per cell
ΔE_f (raw) ... -553 meV/atom
DFT total energy ... -59.6 eV for the cell shown

Unit cell a=4.4908 b=4.4908 c=9.0683 alpha=90.00 beta=90.00 gamma=90.00
Last column: nearest neighbours and their distance in Å.
Space group P4/mmm (No. 123)
Symmetry-distinct sites (fractional):
La 0.0000 0.0000 0.0000  12 Rh 2.99-3.18
Sm 0.0000 0.0000 0.5000  8 Rh 3.41, 8 Sb 3.48
Sb 0.5000 0.5000 0.3424  4 Rh 2.52
Rh 0.0000 0.5000 0.2174  2 Sb 2.52
Rh 0.5000 0.5000 0.0000  8 Rh 2.99, 2 Sb 3.11, 4 La 3.18